A relaxed PmSm2PO8 crystal, computed with PBE.

Calculated values
The magnetization comes out at 2.014 Bohr magnetons per cell. Its uncorrected formation energy is -2.4279 eV/atom. Its energy is -7.37 eV per atom. The value obtained for the density of states at the Fermi level is 7.75 states/eV/f.u.

Lattice parameters (Å, degrees): 5.1572 5.1572 6.4492 90.00 90.00 120.00
Space group P-3m1 (No. 164)
Inequivalent atoms, fractional coordinates:
Pm: 0.0000 0.0000 0.0000 (multiplicity 1)
Sm: 0.3333 0.6667 0.3648 (multiplicity 2)
P: 0.0000 0.0000 0.5000 (multiplicity 1)
O: 0.1542 0.3083 0.6564 (multiplicity 6)
O: 0.3333 0.6667 0.0322 (multiplicity 2)

***

A relaxed Fe2Br3Cl2 crystal, computed with PBE.

Calculated values
The magnetization comes out at 18.003 Bohr magnetons per cell. Its uncorrected formation energy is -0.4653 eV/atom. Its energy is -4.13 eV per atom. The value obtained for the density of states at the Fermi level is 5.45 states/eV/f.u.

Lattice parameters (Å, degrees): 13.406 3.571 10.056 90.00 109.63 90.00
Space group C2/m (No. 12)
Inequivalent atoms, fractional coordinates:
Fe: 0.003 0.000 0.210 (multiplicity 4)
Br: 0.000 0.500 0.000 (multiplicity 2)
Br: 0.103 0.500 0.373 (multiplicity 4)
Cl: 0.158 0.000 0.799 (multiplicity 4)

***

A relaxed CeSm2Rh crystal, computed with PBE.

Calculated values
The magnetization comes out at 5.642 Bohr magnetons per cell. The formation enthalpy at 0 K is -0.847 eV per formula unit. Its offset from the most stable computed form is 0.207 eV/atom. Its energy is -5.89 eV per atom. The value obtained for the density of states at the Fermi level is 7.90 states/eV/f.u.

Lattice parameters (Å, degrees): 3.8592 3.8592 28.3642 90.00 90.00 120.00
Space group R3m (No. 160, hexagonal axes)
Inequivalent atoms, fractional coordinates:
Ce: 0.0000 0.0000 0.0000 (multiplicity 3)
Sm: 0.0000 0.0000 0.2273 (multiplicity 3)
Sm: 0.0000 0.0000 0.4418 (multiplicity 3)
Rh: 0.0000 0.0000 0.8349 (multiplicity 3)

***

A relaxed SrTlHgSb crystal, computed with PBE.

Calculated values
The magnetization comes out at 0.000 Bohr magnetons per cell. Its uncorrected formation energy is -0.4565 eV/atom. Its energy is -2.57 eV per atom. The value obtained for the density of states at the Fermi level is 0.25 states/eV/f.u.

Lattice parameters (Å, degrees): 8.016 8.016 8.016 90.00 90.00 90.00
Space group F-43m (No. 216)
Inequivalent atoms, fractional coordinates:
Sr: 0.000 0.000 0.000 (multiplicity 4)
Tl: 0.000 0.000 0.500 (multiplicity 4)
Hg: 0.250 0.250 0.750 (multiplicity 4)
Sb: 0.250 0.250 0.250 (multiplicity 4)

***

A relaxed LiBeP crystal, computed with PBE.

Calculated values
The magnetization comes out at 0.000 Bohr magnetons per cell. The formation enthalpy at 0 K is 0.430 eV per formula unit. Its energy is -3.54 eV per atom. The value obtained for the density of states at the Fermi level is 0.82 states/eV/f.u.

Lattice parameters (Å, degrees): 2.683 2.683 10.947 90.00 90.00 90.00
Space group I4mm (No. 107)
Inequivalent atoms, fractional coordinates:
Li: 0.000 0.000 0.000 (multiplicity 2)
Be: 0.000 0.000 0.320 (multiplicity 2)
P: 0.000 0.000 0.693 (multiplicity 2)

***

A relaxed SrBiF2 crystal, computed with PBE.

Calculated values
The magnetization comes out at 0.000 Bohr magnetons per cell. Its uncorrected formation energy is -2.5581 eV/atom. Its offset from the most stable computed form is 0.000 eV/atom. Its energy is -4.88 eV per atom. The value obtained for the density of states at the Fermi level is 1.57 states/eV/f.u.

Lattice parameters (Å, degrees): 3.6988 3.6988 27.9132 90.00 90.00 120.00
Space group R-3m (No. 166, hexagonal axes)
Inequivalent atoms, fractional coordinates:
Sr: 0.0000 0.0000 0.0000 (multiplicity 3)
Bi: 0.0000 0.0000 0.5000 (multiplicity 3)
F: 0.0000 0.0000 0.3722 (multiplicity 6)

***

A relaxed FeW crystal, computed with PBE.

Calculated values
The magnetization comes out at 0.001 Bohr magnetons per cell. The formation enthalpy at 0 K is 0.454 eV per formula unit. Its energy is -10.48 eV per atom. The value obtained for the density of states at the Fermi level is 2.18 states/eV/f.u.

Lattice parameters (Å, degrees): 9.642 2.704 4.484 90.00 114.23 90.00
Space group C2/m (No. 12)
Inequivalent atoms, fractional coordinates:
Fe: 0.143 0.000 0.324 (multiplicity 4)
W: 0.110 0.500 0.802 (multiplicity 4)

***

A relaxed Li4Tb3UTe8 crystal, computed with PBE.

Calculated values
The magnetization comes out at 8.838 Bohr magnetons per cell. Its uncorrected formation energy is -1.1508 eV/atom. Its energy is -4.77 eV per atom. The value obtained for the density of states at the Fermi level is 6.21 states/eV/f.u.

Lattice parameters (Å, degrees): 8.7053 8.7053 21.2202 90.00 90.00 120.00
Space group R-3m (No. 166, hexagonal axes)
Inequivalent atoms, fractional coordinates:
Li: 0.0000 0.0000 0.0000 (multiplicity 3)
Li: 0.0000 0.5000 0.0000 (multiplicity 9)
Tb: 0.0000 0.5000 0.5000 (multiplicity 9)
U: 0.0000 0.0000 0.5000 (multiplicity 3)
Te: 0.0000 0.0000 0.2523 (multiplicity 6)
Te: 0.0017 0.5009 0.7473 (multiplicity 18)

***

A relaxed Cs3Tl2Br9 crystal, computed with PBE.

Calculated values
The magnetization comes out at 0.000 Bohr magnetons per cell. Its uncorrected formation energy is -1.0933 eV/atom. Its offset from the most stable computed form is 0.000 eV/atom. Its energy is -2.69 eV per atom.

Lattice parameters (Å, degrees): 9.957 8.085 14.423 90.00 93.02 90.00
Space group P2_1 (No. 4)
Inequivalent atoms, fractional coordinates:
Cs: 0.030 0.000 0.226 (multiplicity 2)
Cs: 0.325 0.001 0.922 (multiplicity 2)
Cs: 0.366 0.495 0.380 (multiplicity 2)
Tl: 0.198 0.003 0.572 (multiplicity 2)
Tl: 0.198 0.516 0.086 (multiplicity 2)
Br: 0.000 0.228 0.994 (multiplicity 2)
Br: 0.035 0.484 0.233 (multiplicity 2)
Br: 0.042 0.511 0.508 (multiplicity 2)
Br: 0.290 0.255 0.671 (multiplicity 2)
Br: 0.292 0.750 0.669 (multiplicity 2)
Br: 0.308 0.500 0.918 (multiplicity 2)
Br: 0.350 0.003 0.424 (multiplicity 2)
Br: 0.350 0.255 0.153 (multiplicity 2)
Br: 0.356 0.761 0.162 (multiplicity 2)

***

A relaxed MnCdCo2As crystal, computed with PBE.

Calculated values
The magnetization comes out at 5.455 Bohr magnetons per cell. The formation enthalpy at 0 K is 4.072 eV per formula unit. Its energy is -4.97 eV per atom. The value obtained for the density of states at the Fermi level is 8.18 states/eV/f.u.

Lattice parameters (Å, degrees): 4.488 4.488 4.395 90.00 90.00 90.00
Space group P4/mmm (No. 123)
Inequivalent atoms, fractional coordinates:
Mn: 0.000 0.000 0.000 (multiplicity 1)
Cd: 0.500 0.500 0.500 (multiplicity 1)
Co: 0.000 0.500 0.000 (multiplicity 2)
As: 0.000 0.000 0.500 (multiplicity 1)

***

A relaxed SrLiPdPt2 crystal, computed with PBE.

Calculated values
The magnetization comes out at 0.000 Bohr magnetons per cell. The formation enthalpy at 0 K is -0.760 eV per formula unit. Its energy is -4.33 eV per atom. The value obtained for the density of states at the Fermi level is 3.33 states/eV/f.u.

Lattice parameters (Å, degrees): 5.053 5.053 4.426 90.00 90.00 90.00
Space group P4/mmm (No. 123)
Inequivalent atoms, fractional coordinates:
Sr: 0.000 0.000 0.000 (multiplicity 1)
Li: 0.500 0.500 0.000 (multiplicity 1)
Pd: 0.500 0.500 0.500 (multiplicity 1)
Pt: 0.000 0.500 0.500 (multiplicity 2)

***

A relaxed Ho4SbSe3 crystal, computed with PBE.

Calculated values
The magnetization comes out at 0.000 Bohr magnetons per cell. Its uncorrected formation energy is -1.5639 eV/atom. Its energy is -5.67 eV per atom. The value obtained for the density of states at the Fermi level is 3.08 states/eV/f.u.

Lattice parameters (Å, degrees): 4.152 5.854 8.268 90.00 90.00 90.00
Space group Pmmm (No. 47)
Inequivalent atoms, fractional coordinates:
Ho: 0.000 0.000 0.000 (multiplicity 1)
Ho: 0.000 0.000 0.500 (multiplicity 1)
Ho: 0.500 0.500 0.238 (multiplicity 2)
Sb: 0.000 0.500 0.500 (multiplicity 1)
Se: 0.000 0.500 0.000 (multiplicity 1)
Se: 0.500 0.000 0.247 (multiplicity 2)

***

> Which of these has the highest energy?

SrTlHgSb

***

> energy of number 2 (Fe2Br3Cl2)?

-4.13 eV per atom

***

> Which of these has the lowest energy?

FeW